An optimized crystal structure of Ag2PdAu2, computed with PBE.

CIF file:
```
data_Ag2PdAu2
_symmetry_space_group_name_H-M 'I 4/m m m'
_symmetry_Int_Tables_number 139
_symmetry_space_group_name_Hall '-I 4 2'
_cell_length_a 3.817
_cell_length_b 3.817
_cell_length_c 13.233
_cell_angle_alpha 90.00
_cell_angle_beta 90.00
_cell_angle_gamma 90.00
loop_
_atom_site_label
_atom_site_fract_x
_atom_site_fract_y
_atom_site_fract_z
Ag1 0.000 0.500 0.250
Pd1 0.000 0.000 0.000
Au1 0.000 0.000 0.402
```

For the energy of formation, the calculation gives 245 meV/atom. The value obtained for the total energy is -0.1186 hartree per atom.

---

An optimized crystal structure of Ag2Pd3Au3, computed with PBE.

CIF file:
```
data_Ag2Pd3Au3
_symmetry_space_group_name_H-M 'I m m m'
_symmetry_Int_Tables_number 71
_symmetry_space_group_name_Hall '-I 2 2'
_cell_length_a 3.991
_cell_length_b 4.116
_cell_length_c 16.367
_cell_angle_alpha 90.00
_cell_angle_beta 90.00
_cell_angle_gamma 90.00
loop_
_atom_site_label
_atom_site_fract_x
_atom_site_fract_y
_atom_site_fract_z
Ag1 0.000 0.000 0.250
Pd1 0.000 0.000 0.000
Pd2 0.000 0.500 0.124
Au1 0.000 0.000 0.500
Au2 0.000 0.500 0.376
```

For the energy of formation, the calculation gives -104 meV/atom. The value obtained for the total energy is -0.1461 hartree per atom.

---

An optimized crystal structure of Ag2PdAu2, computed with PBE.

CIF file:
```
data_Ag2PdAu2
_symmetry_space_group_name_H-M 'I 4/m m m'
_symmetry_Int_Tables_number 139
_symmetry_space_group_name_Hall '-I 4 2'
_cell_length_a 3.820
_cell_length_b 3.820
_cell_length_c 13.321
_cell_angle_alpha 90.00
_cell_angle_beta 90.00
_cell_angle_gamma 90.00
loop_
_atom_site_label
_atom_site_fract_x
_atom_site_fract_y
_atom_site_fract_z
Ag1 0.000 0.000 0.096
Pd1 0.000 0.000 0.500
Au1 0.000 0.500 0.250
```

For the energy of formation, the calculation gives 243 meV/atom. The value obtained for the total energy is -0.1186 hartree per atom.

---

An optimized crystal structure of AgPd3Au4, computed with PBE.

CIF file:
```
data_AgPd3Au4
_symmetry_space_group_name_H-M 'I 4/m m m'
_symmetry_Int_Tables_number 139
_symmetry_space_group_name_Hall '-I 4 2'
_cell_length_a 4.096
_cell_length_b 4.096
_cell_length_c 16.078
_cell_angle_alpha 90.00
_cell_angle_beta 90.00
_cell_angle_gamma 90.00
loop_
_atom_site_label
_atom_site_fract_x
_atom_site_fract_y
_atom_site_fract_z
Ag1 0.000 0.000 0.000
Pd1 0.000 0.000 0.250
Pd2 0.000 0.000 0.500
Au1 0.000 0.500 0.127
```

For the energy of formation, the calculation gives -101 meV/atom. The value obtained for the total energy is -0.1480 hartree per atom.

---

An optimized crystal structure of AgPdAu, computed with PBE.

CIF file:
```
data_AgPdAu
_symmetry_space_group_name_H-M 'F -4 3 m'
_symmetry_Int_Tables_number 216
_symmetry_space_group_name_Hall 'F -4 2 3'
_cell_length_a 6.208
_cell_length_b 6.208
_cell_length_c 6.208
_cell_angle_alpha 90.00
_cell_angle_beta 90.00
_cell_angle_gamma 90.00
loop_
_atom_site_label
_atom_site_fract_x
_atom_site_fract_y
_atom_site_fract_z
Ag1 0.000 0.000 0.000
Pd1 0.250 0.250 0.250
Au1 0.000 0.000 0.500
```

For the energy of formation, the calculation gives 205 meV/atom. The value obtained for the total energy is -0.1305 hartree per atom.

---

An optimized crystal structure of AgPd2Au2, computed with PBE.

CIF file:
```
data_AgPd2Au2
_symmetry_space_group_name_H-M 'I 4/m m m'
_symmetry_Int_Tables_number 139
_symmetry_space_group_name_Hall '-I 4 2'
_cell_length_a 3.769
_cell_length_b 3.769
_cell_length_c 13.192
_cell_angle_alpha 90.00
_cell_angle_beta 90.00
_cell_angle_gamma 90.00
loop_
_atom_site_label
_atom_site_fract_x
_atom_site_fract_y
_atom_site_fract_z
Ag1 0.000 0.000 0.000
Pd1 0.000 0.500 0.250
Au1 0.000 0.000 0.401
```

For the energy of formation, the calculation gives 182 meV/atom. The value obtained for the total energy is -0.1382 hartree per atom.